The following is a DFT calculation (PBE) of crystalline PrYLu at its relaxed geometry.

Its theoretical density is 6866 kg/m3. The crystal system is tetragonal. As for the formation energy from the elements: 0.1 eV/f.u. The value obtained for the energy above the most stable polymorph in this dataset is 0.0 meV per atom.

a b c (Å): 3.586 3.586 15.224
angles (deg): 90.00 90.00 90.00
Space group I4mm (No. 107)
Asymmetric unit:
Pr: 0.000 0.000 0.000 [2 per cell]
Y: 0.000 0.000 0.672 [2 per cell]
Lu: 0.000 0.000 0.334 [2 per cell]

***

The following is a DFT calculation (PBE) of crystalline PrYLu2 at its relaxed geometry.

Its theoretical density is 7585 kg/m3. The crystal system is tetragonal. As for the formation energy from the elements: 0.1 eV/f.u.

a b c (Å): 5.052 5.052 4.972
angles (deg): 90.00 90.00 90.00
Space group P4/mmm (No. 123)
Asymmetric unit:
Pr: 0.000 0.000 0.000 [1 per cell]
Y: 0.500 0.500 0.000 [1 per cell]
Lu: 0.000 0.500 0.500 [2 per cell]

***

The following is a DFT calculation (PBE) of crystalline PrYLu2 at its relaxed geometry.

Its theoretical density is 7616 kg/m3. The crystal system is trigonal. As for the formation energy from the elements: 0.1 eV/f.u.

a b c (Å): 3.5618 3.5618 34.5142
angles (deg): 90.00 90.00 120.00
Space group R-3m (No. 166, hexagonal axes)
Asymmetric unit:
Pr: 0.0000 0.0000 0.0000 [3 per cell]
Y: 0.0000 0.0000 0.5000 [3 per cell]
Lu: 0.0000 0.0000 0.2490 [6 per cell]

***

The following is a DFT calculation (PBE) of crystalline PrY2Lu at its relaxed geometry.

Its theoretical density is 6318 kg/m3. The crystal system is tetragonal. As for the formation energy from the elements: 0.1 eV/f.u. The value obtained for the energy above the most stable polymorph in this dataset is 0.0 meV per atom.

a b c (Å): 5.044 5.044 5.099
angles (deg): 90.00 90.00 90.00
Space group P4/mmm (No. 123)
Asymmetric unit:
Pr: 0.000 0.000 0.000 [1 per cell]
Y: 0.000 0.500 0.500 [2 per cell]
Lu: 0.500 0.500 0.000 [1 per cell]

***

The following is a DFT calculation (PBE) of crystalline PrYLuZr at its relaxed geometry.

Its theoretical density is 6944 kg/m3. The crystal system is cubic. As for the formation energy from the elements: 0.9 eV/f.u.

a b c (Å): 7.799 7.799 7.799
angles (deg): 90.00 90.00 90.00
Space group F-43m (No. 216)
Asymmetric unit:
Pr: 0.000 0.000 0.000 [4 per cell]
Y: 0.250 0.250 0.750 [4 per cell]
Lu: 0.250 0.250 0.250 [4 per cell]
Zr: 0.000 0.000 0.500 [4 per cell]

***

The following is a DFT calculation (PBE) of crystalline PrLu2Zn at its relaxed geometry.

Its theoretical density is 8630 kg/m3. The crystal system is tetragonal. As for the formation energy from the elements: -0.1 eV/f.u. The value obtained for the energy above the most stable polymorph in this dataset is 146.9 meV per atom.

a b c (Å): 4.730 4.730 4.785
angles (deg): 90.00 90.00 90.00
Space group P4/mmm (No. 123)
Asymmetric unit:
Pr: 0.000 0.000 0.000 [1 per cell]
Lu: 0.000 0.500 0.500 [2 per cell]
Zn: 0.500 0.500 0.000 [1 per cell]

***

The following is a DFT calculation (PBE) of crystalline PrLu2Zn at its relaxed geometry.

Its theoretical density is 8526 kg/m3. The crystal system is tetragonal. As for the formation energy from the elements: -0.7 eV/f.u. The value obtained for the energy above the most stable polymorph in this dataset is 0.0 meV per atom.

a b c (Å): 3.517 3.517 8.757
angles (deg): 90.00 90.00 90.00
Space group P4/mmm (No. 123)
Asymmetric unit:
Pr: 0.000 0.000 0.000 [1 per cell]
Lu: 0.500 0.500 0.302 [2 per cell]
Zn: 0.000 0.000 0.500 [1 per cell]

***

The following is a DFT calculation (PBE) of crystalline PrLu2Zr at its relaxed geometry.

Its theoretical density is 8413 kg/m3. The crystal system is tetragonal. As for the formation energy from the elements: 0.4 eV/f.u. The value obtained for the energy above the most stable polymorph in this dataset is 25.2 meV per atom.

a b c (Å): 4.877 4.877 4.831
angles (deg): 90.00 90.00 90.00
Space group P4/mmm (No. 123)
Asymmetric unit:
Pr: 0.000 0.000 0.000 [1 per cell]
Lu: 0.000 0.500 0.500 [2 per cell]
Zr: 0.500 0.500 0.000 [1 per cell]

***

The following is a DFT calculation (PBE) of crystalline PrLuZr at its relaxed geometry.

Its theoretical density is 7826 kg/m3. The crystal system is trigonal. As for the formation energy from the elements: 0.3 eV/f.u.

a b c (Å): 3.4363 3.4363 8.4475
angles (deg): 90.00 90.00 120.00
Space group P3m1 (No. 156)
Asymmetric unit:
Pr: 0.0000 0.0000 0.0000 [1 per cell]
Lu: 0.3333 0.6667 0.6300 [1 per cell]
Zr: 0.6667 0.3333 0.3240 [1 per cell]

***

The following is a DFT calculation (PBE) of crystalline PrLu2Zr at its relaxed geometry.

Its theoretical density is 8373 kg/m3. The crystal system is trigonal. As for the formation energy from the elements: 0.3 eV/f.u. The value obtained for the energy above the most stable polymorph in this dataset is 0.0 meV per atom.

a b c (Å): 3.4373 3.4373 33.8459
angles (deg): 90.00 90.00 120.00
Space group R-3m (No. 166, hexagonal axes)
Asymmetric unit:
Pr: 0.0000 0.0000 0.0000 [3 per cell]
Lu: 0.0000 0.0000 0.2435 [6 per cell]
Zr: 0.0000 0.0000 0.5000 [3 per cell]

***

The following is a DFT calculation (PBE) of crystalline PrLu2Zr at its relaxed geometry.

Its theoretical density is 8228 kg/m3. The crystal system is tetragonal. As for the formation energy from the elements: 0.6 eV/f.u. The value obtained for the energy above the most stable polymorph in this dataset is 70.4 meV per atom.

a b c (Å): 3.954 3.954 7.515
angles (deg): 90.00 90.00 90.00
Space group P4/mmm (No. 123)
Asymmetric unit:
Pr: 0.000 0.000 0.000 [1 per cell]
Lu: 0.500 0.500 0.283 [2 per cell]
Zr: 0.000 0.000 0.500 [1 per cell]

***

The following is a DFT calculation (PBE) of crystalline PrLu2Zr at its relaxed geometry.

Its theoretical density is 8372 kg/m3. The crystal system is cubic. As for the formation energy from the elements: 0.8 eV/f.u. The value obtained for the energy above the most stable polymorph in this dataset is 114.9 meV per atom.

a b c (Å): 7.729 7.729 7.729
angles (deg): 90.00 90.00 90.00
Space group Fm-3m (No. 225)
Asymmetric unit:
Pr: 0.000 0.000 0.000 [4 per cell]
Lu: 0.250 0.250 0.250 [8 per cell]
Zr: 0.000 0.000 0.500 [4 per cell]